Material: TcSbI3
Method: DFT, PBE
State: optimized geometry

Lattice parameters (Å, degrees): 6.067 6.067 6.067 90.00 90.00 90.00
Sites, in units of the cell vectors:
Tc 0.000 0.000 0.000
Sb 0.500 0.500 0.500
I 0.000 0.500 0.500
I 0.500 0.000 0.500
I 0.500 0.500 0.000

Formation energy from raw total energies = 0.94 eV per atom
Magnetic moment = 5.3 Bohr magnetons per cell
Excess energy over the best structure of this formula in the dataset = 353 meV per atom